# 1
The following is a DFT calculation (GGA-PBE) of Sm2ScCu4Ge4 after structural relaxation.

Cell lengths 8.005, 8.005, 8.005 Å; angles 149.20, 131.76, 58.34 degrees
Positions (direct):
1 Cu 0.360 0.670 0.690
2 Sc 0.000 0.000 0.000
3 Ge 0.297 0.500 0.797
4 Sm 0.371 0.871 0.500
5 Ge 0.703 0.500 0.203
6 Ge 0.213 0.213 0.000
7 Cu 0.980 0.670 0.310
8 Sm 0.629 0.129 0.500
9 Ge 0.787 0.787 0.000
10 Cu 0.020 0.330 0.690
11 Cu 0.640 0.330 0.310

Computed properties:
Total magnetic moment, μB per formula unit: 0.00
SG: Immm
DFT total energy, eV for the cell shown: -55.574

---

# 2
The following is a DFT calculation (GGA-PBE) of ScTaCuGe after structural relaxation.

Cell lengths 4.564, 4.564, 4.564 Å; angles 60.00, 60.00, 60.00 degrees
Positions (direct):
1 Ta 0.250 0.250 0.250
2 Sc 0.500 0.500 0.500
3 Ge 0.000 0.000 0.000
4 Cu 0.750 0.750 0.750

Computed properties:
Total magnetic moment, μB per formula unit: 0.62
SG: F-43m
DFT total energy, eV for the cell shown: -25.296

---

Which of these has the lowest DFT total energy? Sm2ScCu4Ge4